# 1
The following is a GGA-PBEsol calculation of K2MgHg after structural relaxation, from Alexandria.

Calculated values
Formation energy from the elements ... -0.03 eV/atom
Electronic total energy ... -4.69 eV/cell
Density ... 3.31 Mg/m³
Relative energy among the computed polymorphs ... 37.9 meV per atom
SG ... Imm2

Cell: 4.271 6.079 6.936 Å, 115.99 107.93 90.00°
Atoms (fractional coordinates):
Mg: 0.558 0.558 0.116
K: 0.963 0.963 0.927
K: 0.766 0.266 0.532
Hg: 0.213 0.713 0.425

# 2
The following is a GGA-PBEsol calculation of Ti2Sn3 after structural relaxation, from Alexandria.

Calculated values
Formation energy from the elements ... -0.38 eV/atom
Electronic total energy ... -125.22 eV/cell
Density ... 7.41 Mg/m³
SG ... Cmce

Cell: 5.887 6.959 10.321 Å, 90.00 106.57 90.00°
Atoms (fractional coordinates):
Ti: 0.081 0.954 0.162
Ti: 0.587 0.750 0.673
Ti: 0.913 0.250 0.327
Ti: 0.413 0.250 0.327
Ti: 0.581 0.546 0.162
Ti: 0.087 0.750 0.673
Ti: 0.919 0.046 0.838
Ti: 0.419 0.454 0.838
Sn: 0.224 0.927 0.449
Sn: 0.879 0.426 0.757
Sn: 0.724 0.573 0.449
Sn: 0.276 0.427 0.551
Sn: 0.770 0.250 0.040
Sn: 0.121 0.574 0.243
Sn: 0.379 0.074 0.757
Sn: 0.730 0.750 0.960
Sn: 0.776 0.073 0.551
Sn: 0.270 0.250 0.040
Sn: 0.230 0.750 0.960
Sn: 0.621 0.926 0.243

# 3
The following is a GGA-PBEsol calculation of DyRe2SiC after structural relaxation, from Alexandria.

Calculated values
Electronic total energy ... -98.96 eV/cell
Density ... 12.49 Mg/m³
SG ... Cmcm

Cell: 3.913 5.757 7.219 Å, 90.00 90.00 109.87°
Atoms (fractional coordinates):
Re: 0.174 0.348 0.438
Re: 0.826 0.652 0.562
Re: 0.826 0.652 0.938
Re: 0.174 0.348 0.062
Si: 0.736 0.472 0.250
Si: 0.264 0.528 0.750
C: 0.000 0.000 0.500
C: 0.000 0.000 0.000
Dy: 0.457 0.915 0.250
Dy: 0.543 0.085 0.750

# 4
The following is a GGA-PBEsol calculation of Zn3FeAg after structural relaxation, from Alexandria.

Calculated values
Formation energy from the elements ... 1.03 eV/atom
Electronic total energy ... -11.89 eV/cell
Density ... 5.88 Mg/m³
SG ... Pm-3m

Cell: 4.668 4.668 4.668 Å, 90.00 90.00 90.00°
Atoms (fractional coordinates):
Zn: 0.000 0.500 0.000
Zn: 0.000 0.000 0.500
Zn: 0.500 0.000 0.000
Fe: 0.500 0.500 0.500
Ag: 0.000 0.000 0.000

# 5
The following is a GGA-PBEsol calculation of MnIrRh2 after structural relaxation, from Alexandria.

Calculated values
Formation energy from the elements ... 0.02 eV/atom
Electronic total energy ... -35.80 eV/cell
Density ... 14.47 Mg/m³
SG ... R-3m

Cell: 2.646 2.646 8.708 Å, 81.26 81.26 60.00°
Atoms (fractional coordinates):
Ir: 0.500 0.500 0.500
Mn: 0.000 0.000 0.000
Rh: 0.254 0.254 0.237
Rh: 0.746 0.746 0.763

# 6
The following is a GGA-PBEsol calculation of Mg2NbCrBi after structural relaxation, from Alexandria.

Calculated values
Formation energy from the elements ... 1.11 eV/atom
Electronic total energy ... -23.23 eV/cell
Density ... 5.34 Mg/m³
SG ... P4/mmm

Cell: 4.401 5.335 5.335 Å, 90.00 90.00 90.00°
Atoms (fractional coordinates):
Mg: 0.000 0.000 0.500
Mg: 0.000 0.500 0.000
Cr: 0.500 0.000 0.000
Nb: 0.000 0.000 0.000
Bi: 0.500 0.500 0.500

# 7
The following is a GGA-PBEsol calculation of ErHO2 after structural relaxation, from Alexandria.

Calculated values
Electronic total energy ... -59.31 eV/cell
Density ... 7.99 Mg/m³
SG ... P2_1/m

Cell: 3.553 4.241 5.846 Å, 109.17 90.00 90.00°
Atoms (fractional coordinates):
H: 0.750 0.489 0.580
H: 0.250 0.511 0.420
O: 0.750 0.267 0.053
O: 0.250 0.733 0.947
O: 0.750 0.251 0.562
O: 0.250 0.749 0.438
Er: 0.750 0.833 0.189
Er: 0.250 0.167 0.811

# 8
The following is a GGA-PBEsol calculation of CrIr2 after structural relaxation, from Alexandria.

Calculated values
Formation energy from the elements ... -0.17 eV/atom
Electronic total energy ... -60.81 eV/cell
Density ... 18.35 Mg/m³
SG ... Cm

Cell: 2.680 5.008 6.286 Å, 103.14 90.00 105.52°
Atoms (fractional coordinates):
Cr: 0.998 0.997 0.000
Cr: 0.668 0.336 0.332
Ir: 0.393 0.786 0.271
Ir: 0.058 0.115 0.608
Ir: 0.334 0.668 0.668
Ir: 0.715 0.431 0.954

# 9
The following is a GGA-PBEsol calculation of SiSbPt5 after structural relaxation, from Alexandria.

Calculated values
Electronic total energy ... -48.17 eV/cell
Density ... 16.83 Mg/m³
SG ... P4/mmm

Cell: 3.942 3.942 7.143 Å, 90.00 90.00 90.00°
Atoms (fractional coordinates):
Sb: 0.500 0.500 0.000
Si: 0.000 0.000 0.500
Pt: 0.000 0.500 0.298
Pt: 0.000 0.500 0.702
Pt: 0.500 0.000 0.298
Pt: 0.500 0.000 0.702
Pt: 0.000 0.000 0.000

# 10
The following is a GGA-PBEsol calculation of NbCd2FeRu after structural relaxation, from Alexandria.

Calculated values
Formation energy from the elements ... 1.43 eV/atom
Electronic total energy ... -25.19 eV/cell
Density ... 7.59 Mg/m³
SG ... P4/mmm

Cell: 4.206 4.970 4.970 Å, 90.00 90.00 90.00°
Atoms (fractional coordinates):
Ru: 0.000 0.000 0.000
Nb: 0.500 0.500 0.500
Fe: 0.500 0.000 0.000
Cd: 0.000 0.000 0.500
Cd: 0.000 0.500 0.000

# 11
The following is a GGA-PBEsol calculation of BaAg3Ge after structural relaxation, from Alexandria.

Calculated values
Formation energy from the elements ... 1.42 eV/atom
Electronic total energy ... -9.93 eV/cell
Density ... 4.88 Mg/m³
Relative energy among the computed polymorphs ... 1480.4 meV per atom
SG ... Pm-3m

Cell: 5.662 5.662 5.662 Å, 90.00 90.00 90.00°
Atoms (fractional coordinates):
Ge: 0.500 0.500 0.500
Ba: 0.000 0.000 0.000
Ag: 0.000 0.500 0.000
Ag: 0.000 0.000 0.500
Ag: 0.500 0.000 0.000

# 12
The following is a GGA-PBEsol calculation of TmNi2Sn after structural relaxation, from Alexandria.

Calculated values
Formation energy from the elements ... -0.55 eV/atom
Electronic total energy ... -23.67 eV/cell
Density ... 10.64 Mg/m³
SG ... Fm-3m

Cell: 4.472 4.472 4.472 Å, 60.00 60.00 60.00°
Atoms (fractional coordinates):
Ni: 0.750 0.750 0.750
Ni: 0.250 0.250 0.250
Tm: 0.500 0.500 0.500
Sn: 0.000 0.000 0.000

Among the records above, which one has the lowest electronic total energy?
Ti2Sn3